Record 1
Density functional theory data (PBE-GGA) for crystalline ZrTi3Ga at its relaxed geometry.

Structure (POSCAR):
```
ZrTi3Ga
1.0
5.3730 0.0001 -0.0001
-0.0002 6.4503 0.0001
0.0003 -3.2254 5.5860
Ti Zr Ga
6 2 2
direct
0.2500 0.8052 0.1948
0.7500 0.1948 0.8052
0.7500 0.6104 0.8052
0.2500 0.8052 0.6104
0.2500 0.3896 0.1948
0.7500 0.1948 0.3896
0.7499 0.6668 0.3334
0.2501 0.3332 0.6666
0.5000 0.0000 0.0000
0.0000 0.0000 0.0000
```

Computed properties:
- theoretical density (g cm⁻³) = 5.22
- VASP energy (eV/atom) = -6.94
- relative energy among the computed polymorphs (eV per formula unit) = 0.00
- density of states at the Fermi level (states/eV/cell) = 12.38
- space group = P6_3/mmc, No. 194

=====

Record 2
Density functional theory data (PBE-GGA) for crystalline ZrTi4Ga2 at its relaxed geometry.

Structure (POSCAR):
```
ZrTi4Ga2
1.0
3.8018 0.0000 0.0000
0.0000 3.9484 0.0000
0.0000 -1.9742 8.3080
Ga Ti Zr
2 4 1
direct
0.5000 0.4281 0.8563
0.5000 0.5719 0.1437
0.5000 0.1847 0.3694
0.5000 0.8153 0.6306
0.0000 0.3111 0.6223
0.0000 0.6889 0.3777
0.0000 0.0000 0.0000
```

Computed properties:
- theoretical density (g cm⁻³) = 5.62
- VASP energy (eV/atom) = -6.89
- relative energy among the computed polymorphs (eV per formula unit) = 0.00
- density of states at the Fermi level (states/eV/cell) = 5.69
- space group = Cmmm, No. 65

=====

Record 3
Density functional theory data (PBE-GGA) for crystalline ZrTiGa2 at its relaxed geometry.

Structure (POSCAR):
```
ZrTiGa2
1.0
4.3103 0.0000 0.0000
2.1551 3.7328 0.0000
2.1551 1.2443 4.5699
Ga Ti Zr
2 1 1
direct
0.7631 0.7631 0.7106
0.2369 0.2369 0.2894
0.5000 0.5000 0.5000
0.0000 0.0000 0.0000
```

Computed properties:
- theoretical density (g cm⁻³) = 6.29
- VASP energy (eV/atom) = -5.98
- relative energy among the computed polymorphs (eV per formula unit) = 0.52
- density of states at the Fermi level (states/eV/cell) = 3.24
- space group = R-3m, No. 166

=====

Record 4
Density functional theory data (PBE-GGA) for crystalline ZrTiGa6 at its relaxed geometry.

Structure (POSCAR):
```
ZrTiGa6
1.0
-0.9807 3.9044 0.5354
-0.7441 -0.7252 3.9260
7.7332 1.6984 1.7794
Ga Ti Zr
6 1 1
direct
0.0000 0.5000 0.2589
0.5000 0.0000 0.2589
0.0000 0.5000 0.7411
0.5000 0.5000 0.0000
0.5000 0.5000 0.5000
0.5000 0.0000 0.7411
0.0000 0.0000 0.5000
0.0000 0.0000 0.0000
```

Computed properties:
- theoretical density (g cm⁻³) = 6.92
- VASP energy (eV/atom) = -4.71
- density of states at the Fermi level (states/eV/cell) = 3.60
- space group = P4/mmm, No. 123

=====

Record 5
Density functional theory data (PBE-GGA) for crystalline ZrTi3Ga4 at its relaxed geometry.

Structure (POSCAR):
```
ZrTi3Ga4
1.0
5.4198 0.0000 0.0000
0.0000 5.3786 0.0000
0.0000 0.0000 9.5940
Ti Zr Ga
6 2 8
direct
0.9972 0.8437 0.7466
0.4972 0.1563 0.2466
0.7499 0.9288 0.0000
0.2499 0.0712 0.5000
0.4972 0.1563 0.7534
0.9972 0.8437 0.2534
0.5029 0.5673 0.5000
0.0029 0.4327 0.0000
0.0105 0.6316 0.5000
0.0109 0.3330 0.7075
0.0109 0.3330 0.2925
0.5105 0.3684 0.0000
0.7356 0.0591 0.5000
0.5109 0.6670 0.2075
0.2356 0.9409 0.0000
0.5109 0.6670 0.7925
```

Computed properties:
- theoretical density (g cm⁻³) = 6.10
- VASP energy (eV/atom) = -5.85
- density of states at the Fermi level (states/eV/cell) = 15.47
- space group = Pmn2_1, No. 31

=====

Record 6
Density functional theory data (PBE-GGA) for crystalline ZrTiGa2 at its relaxed geometry.

Structure (POSCAR):
```
ZrTiGa2
1.0
-2.9936 -1.3387 2.3780
2.5835 -0.0267 3.2373
-1.0542 3.9091 0.8735
Ga Zr Ti
2 1 1
direct
0.0000 0.5000 0.0000
0.0000 0.0000 0.5000
0.5000 0.5000 0.5000
0.5000 0.0000 0.0000
```

Computed properties:
- theoretical density (g cm⁻³) = 6.66
- VASP energy (eV/atom) = -6.11
- relative energy among the computed polymorphs (eV per formula unit) = 0.00
- density of states at the Fermi level (states/eV/cell) = 2.28
- space group = P4/mmm, No. 123